5
Lattice="-1.784 -3.399 -0.669 3.328 -1.891 0.732 -0.968 -0.237 3.789" Properties=species:S:1:pos:R:3 comment="GGA+U MnZnN2O, optimized geometry" final_energy_ev_per_cell=-25.62 total_magnetization_mub_per_fu=2.023 pbc="T T T"
N 1.664 -0.945 0.366
N -0.892 -1.699 -0.334
Mn 0.288 -2.763 1.926
O -0.484 -0.119 1.895
Zn 0.000 0.000 0.000